A geometry-optimized Er6Tc2Bi structure, computed with PBE.

Lattice parameters (Å, degrees): 9.448 9.639 10.432 90.00 90.00 90.00
Space group Immm (No. 71)
One atom of each set of equivalent atoms:
1 Er 0.000 0.216 0.244
2 Er 0.184 0.500 0.166
3 Er 0.219 0.315 0.500
4 Tc 0.000 0.333 0.000
5 Tc 0.000 0.500 0.384
6 Bi 0.000 0.000 0.000
7 Bi 0.000 0.000 0.500

## Properties
Final energy ... -6.04 eV/atom
Crystal system ... orthorhombic
Total moment ... 0.000 μB per atom

=====

A geometry-optimized CaSiPd3 structure, computed with PBE.

Lattice parameters (Å, degrees): 4.869 4.869 4.869 90.00 90.00 90.00
Space group Pm-3m (No. 221)
One atom of each set of equivalent atoms:
1 Ca 0.000 0.000 0.000
2 Si 0.500 0.500 0.500
3 Pd 0.000 0.000 0.500

## Properties
Final energy ... -3.65 eV/atom
Crystal system ... cubic
Raw formation energy ... 4.7 eV per formula unit
Total moment ... 0.000 μB per atom

=====

A geometry-optimized Li2InBr structure, computed with PBE.

Lattice parameters (Å, degrees): 3.703 3.965 6.863 90.00 90.00 90.00
Space group Pmmm (No. 47)
One atom of each set of equivalent atoms:
1 Li 0.000 0.000 0.000
2 Li 0.500 0.000 0.500
3 In 0.000 0.500 0.500
4 Br 0.500 0.500 0.000

## Properties
Final energy ... -2.60 eV/atom
Crystal system ... orthorhombic
Raw formation energy ... -2.2 eV per formula unit
Total moment ... 0.000 μB per atom

=====

A geometry-optimized RbTl2Cu structure, computed with PBE.

Lattice parameters (Å, degrees): 7.825 7.825 7.825 90.00 90.00 90.00
Space group Fm-3m (No. 225)
One atom of each set of equivalent atoms:
1 Rb 0.000 0.000 0.000
2 Tl 0.250 0.250 0.250
3 Cu 0.000 0.000 0.500

## Properties
Final energy ... -2.10 eV/atom
Crystal system ... cubic
Total moment ... 0.000 μB per atom

=====

A geometry-optimized TlTeHN2 structure, computed with PBE.

Lattice parameters (Å, degrees): 4.299 4.299 6.473 90.00 90.00 90.00
Space group P4/mmm (No. 123)
One atom of each set of equivalent atoms:
1 Tl 0.000 0.000 0.000
2 Te 0.000 0.000 0.500
3 H 0.500 0.500 0.500
4 N 0.000 0.500 0.000

## Properties
Final energy ... -2.87 eV/atom
Crystal system ... tetragonal
Total moment ... 0.802 μB per atom

=====

A geometry-optimized Zn3Os structure, computed with PBE.

Lattice parameters (Å, degrees): 3.674 3.674 8.346 90.00 90.00 90.00
Space group I4/mmm (No. 139)
One atom of each set of equivalent atoms:
1 Zn 0.000 0.000 0.000
2 Zn 0.000 0.500 0.250
3 Os 0.000 0.000 0.500

## Properties
Final energy ... -3.64 eV/atom
Crystal system ... tetragonal
Total moment ... 0.034 μB per atom

=====

A geometry-optimized Ac6DyY5 structure, computed with PBE.

Lattice parameters (Å, degrees): 17.359 10.076 5.490 90.00 108.38 90.00
Space group C2/m (No. 12)
One atom of each set of equivalent atoms:
1 Ac 0.000 0.249 0.000
2 Ac 0.166 0.250 0.666
3 Dy 0.000 0.000 0.500
4 Y 0.000 0.500 0.500
5 Y 0.166 0.500 0.166
6 Y 0.167 0.000 0.167

## Properties
Final energy ... -5.09 eV/atom
Crystal system ... monoclinic
Total moment ... 0.000 μB per atom

=====

A geometry-optimized NaCdInAu structure, computed with PBE.

Lattice parameters (Å, degrees): 6.794 3.100 9.354 90.00 90.39 90.00
Space group Cm (No. 8)
One atom of each set of equivalent atoms:
1 Na 0.000 0.000 0.000
2 Cd 0.292 0.000 0.274
3 In 0.297 0.000 0.715
4 Au 0.094 0.500 0.497

## Properties
Final energy ... -2.14 eV/atom
Crystal system ... monoclinic
Total moment ... 0.000 μB per atom

=====

A geometry-optimized NdNi3Sn2 structure, computed with PBE.

Lattice parameters (Å, degrees): 9.791 7.572 6.015 90.00 90.00 90.00
Space group Cmcm (No. 63)
One atom of each set of equivalent atoms:
1 Nd 0.000 0.170 0.250
2 Ni 0.000 0.454 0.750
3 Ni 0.134 0.192 0.750
4 Sn 0.213 0.500 0.000

## Properties
Final energy ... -5.35 eV/atom
Crystal system ... orthorhombic
Total moment ... 0.000 μB per atom

=====

A geometry-optimized ErScNb structure, computed with PBE.

Lattice parameters (Å, degrees): 3.456 3.456 12.179 90.00 90.00 90.00
Space group P4/nmm (No. 129, origin choice 2)
One atom of each set of equivalent atoms:
1 Er 0.250 0.250 0.100
2 Sc 0.250 0.250 0.701
3 Nb 0.250 0.250 0.446

## Properties
Final energy ... -6.94 eV/atom
Crystal system ... tetragonal
Total moment ... 0.000 μB per atom

=====

A geometry-optimized PmSeS structure, computed with PBE.

Lattice parameters (Å, degrees): 3.830 3.830 9.330 90.00 90.00 90.00
Space group I4mm (No. 107)
One atom of each set of equivalent atoms:
1 Pm 0.000 0.000 0.000
2 Se 0.000 0.000 0.655
3 S 0.000 0.000 0.368

## Properties
Final energy ... -5.48 eV/atom
Crystal system ... tetragonal
Raw formation energy ... -4.1 eV per formula unit
Total moment ... 0.000 μB per atom

=====

Which value of total moment does entry 9 give? 0.000 μB per atom